1.
A relaxed ZrRe2Mo crystal, computed with PBE.

The energy above the lowest structure with this stoichiometry is 0.98 eV/f.u. The calculation puts the magnetic moment at 0.00 Bohr magnetons per cell. As for the symmetry: No. 35. The calculation puts the total DFT energy (no corrections) at -10.940 eV per atom.

Lattice parameters (Å, degrees): 2.7912 2.7912 9.1155 90.00 90.00 110.51
Last column: nearest neighbours and their distance in Å.
Positions (direct):
Re: 0.5000 0.5000 0.2363  6 Re 2.67-2.79, 2 Zr 2.86
Re: 0.0000 0.0000 0.0011  6 Re 2.67-2.79, 2 Mo 2.67
Zr: 0.0000 0.0000 0.4970  4 Zr 2.79, 2 Re 2.86, 2 Mo 2.92
Mo: 0.5000 0.5000 0.7656  2 Re 2.67, 4 Mo 2.79, 2 Zr 2.92

=====

2.
A relaxed ZrReMo2 crystal, computed with PBE.

The energy above the lowest structure with this stoichiometry is 1.59 eV/f.u. The calculation puts the magnetic moment at 0.00 Bohr magnetons per cell. As for the symmetry: No. 166. The calculation puts the total DFT energy (no corrections) at -10.363 eV per atom.

Lattice parameters (Å, degrees): 9.5206 9.5206 9.5206 17.62 17.62 17.62
Last column: nearest neighbours and their distance in Å.
Positions (direct):
Re: 0.2500 0.2500 0.2500  6 Mo 2.73, 6 Re 2.92
Mo: 0.5067 0.5067 0.5067  3 Re 2.73, 6 Mo 2.92, 3 Zr 3.04
Mo: 0.9933 0.9933 0.9933  3 Re 2.73, 6 Mo 2.92, 3 Zr 3.04
Zr: 0.7500 0.7500 0.7500  6 Zr 2.92, 6 Mo 3.04

=====

3.
A relaxed ZrRe2Mo crystal, computed with PBE.

The energy above the lowest structure with this stoichiometry is 1.44 eV/f.u. The calculation puts the magnetic moment at 0.00 Bohr magnetons per cell. As for the symmetry: No. 166. The calculation puts the total DFT energy (no corrections) at -10.823 eV per atom.

Lattice parameters (Å, degrees): 9.6574 9.6574 9.6574 16.98 16.98 16.98
Last column: nearest neighbours and their distance in Å.
Positions (direct):
Zr: 0.2500 0.2500 0.2500  6 Zr 2.85, 6 Re 3.04
Re: 0.0064 0.0064 0.0064  3 Mo 2.75, 6 Re 2.85, 3 Zr 3.04
Re: 0.4936 0.4936 0.4936  3 Mo 2.75, 6 Re 2.85, 3 Zr 3.04
Mo: 0.7500 0.7500 0.7500  6 Re 2.75, 6 Mo 2.85

=====

4.
A relaxed Zr2ReMo crystal, computed with PBE.

The calculation puts the magnetic moment at 0.00 Bohr magnetons per cell. As for the symmetry: No. 25. The calculation puts the total DFT energy (no corrections) at -9.864 eV per atom.

Lattice parameters (Å, degrees): 3.0956 4.3872 5.5248 90.00 90.00 90.00
Last column: nearest neighbours and their distance in Å.
Positions (direct):
Zr: 0.5000 0.5000 0.2642  2 Re 2.64-2.89
Zr: 0.0000 0.0000 0.9817  1 Mo 2.59
Re: 0.5000 0.5000 0.7413  2 Zr 2.64-2.89
Mo: 0.0000 0.0000 0.5128  1 Zr 2.59

=====

no.,ΔH_f (0 K) (eV per atom)
1,0.129
2,0.302
3,0.246
4,0.230